# 1
A geometry-optimized CrCuTcB2 structure. Source: Alexandria, functional PBE-GGA.

The calculation puts the offset from the most stable computed form at 0 meV per atom.

The space group is P4/mmm (No. 123) and the conventional cell measures 4.0764, 4.0764 and 4.6012 Å, with angles of 90.00, 90.00 and 90.00 degrees. The asymmetric unit holds Cr at (0.0000, 0.0000, 0.0000), Cu at (0.5000, 0.5000, 0.0000), Tc at (0.0000, 0.0000, 0.5000) and B at (0.0000, 0.5000, 0.5000).

***

# 2
A geometry-optimized CrCuTcB2 structure. Source: Alexandria, functional PBE-GGA.

The calculation puts the offset from the most stable computed form at 201 meV per atom.

The space group is P4/mmm (No. 123) and the conventional cell measures 3.6588, 3.6588 and 4.5657 Å, with angles of 90.00, 90.00 and 90.00 degrees. The asymmetric unit holds Cr at (0.0000, 0.0000, 0.0000), Cu at (0.0000, 0.0000, 0.5000), Tc at (0.5000, 0.5000, 0.0000) and B at (0.0000, 0.5000, 0.5000).

***

# 3
A geometry-optimized CrCuTc2B structure. Source: Alexandria, functional PBE-GGA.

The space group is P4/mmm (No. 123) and the conventional cell measures 4.4105, 4.4105 and 3.8136 Å, with angles of 90.00, 90.00 and 90.00 degrees. The asymmetric unit holds Cr at (0.0000, 0.0000, 0.0000), Cu at (0.5000, 0.5000, 0.5000), Tc at (0.0000, 0.5000, 0.0000) and B at (0.0000, 0.0000, 0.5000).

***

# 4
A geometry-optimized TiCr2CuB structure. Source: Alexandria, functional PBE-GGA.

The space group is P4/mmm (No. 123) and the conventional cell measures 3.9696, 3.9696 and 3.8436 Å, with angles of 90.00, 90.00 and 90.00 degrees. The asymmetric unit holds Ti at (0.0000, 0.0000, 0.0000), Cr at (0.0000, 0.5000, 0.5000), Cu at (0.5000, 0.5000, 0.0000) and B at (0.5000, 0.5000, 0.5000).

***

# 5
A geometry-optimized DyCrB2 structure. Source: Alexandria, functional PBE-GGA.

The space group is R-3m (No. 166, hexagonal axes) and the conventional cell measures 3.5530, 3.5530 and 14.2818 Å, with angles of 90.00, 90.00 and 120.00 degrees. The asymmetric unit holds Dy at (0.0000, 0.0000, 0.0000), Cr at (0.0000, 0.0000, 0.5000) and B at (0.0000, 0.0000, 0.2060).

***

Asked for D(E_F) across the records above, the calculation gives 0.88; 1.16; 1.24; 0.65; 0.66 states/eV per atom in order.
Asked for electronic total energy across the records above, the calculation gives -6.144; -5.943; -6.844; -7.454; -6.914 eV/atom in order.